Entry 1:
# MgMnTl2Zn

A relaxed structure of MgMnTl2Zn (PBE, Alexandria).

a = 5.192 Å, b = 5.192 Å, c = 4.854 Å
α = 90.00°, β = 90.00°, γ = 90.00°
Element x y z (fractional)
Mg (0.000, 0.000, 0.000)
Mn (0.500, 0.500, 0.500)
Tl (0.000, 0.500, 0.500)
Tl (0.500, 0.000, 0.500)
Zn (0.500, 0.500, 0.000)

calculated volume	131	Å³ per cell
energy	-0.107	Ha/atom
formation enthalpy at 0 K	0.450	eV/atom


Entry 2:
# Tm4Mg3Mn

A relaxed structure of Tm4Mg3Mn (PBE, Alexandria).

a = 3.511 Å, b = 3.511 Å, c = 16.341 Å
α = 90.00°, β = 90.00°, γ = 90.00°
Element x y z (fractional)
Tm (0.000, 0.000, 0.102)
Tm (0.000, 0.000, 0.370)
Tm (0.000, 0.000, 0.630)
Tm (0.000, 0.000, 0.898)
Mg (0.500, 0.500, 0.239)
Mg (0.500, 0.500, 0.500)
Mg (0.500, 0.500, 0.761)
Mn (0.500, 0.500, 0.000)

calculated volume	201	Å³ per cell
energy	-0.147	Ha/atom
formation enthalpy at 0 K	-0.011	eV/atom


Entry 3:
# Tm5Mg2Mn2

A relaxed structure of Tm5Mg2Mn2 (PBE, Alexandria).

a = 9.673 Å, b = 9.673 Å, c = 7.090 Å
α = 90.00°, β = 90.00°, γ = 42.59°
Element x y z (fractional)
Tm (0.000, 0.000, 0.000)
Tm (0.073, 0.698, 0.687)
Tm (0.198, 0.573, 0.187)
Tm (0.302, 0.927, 0.687)
Tm (0.427, 0.802, 0.187)
Tm (0.500, 0.500, 0.500)
Tm (0.573, 0.198, 0.813)
Tm (0.698, 0.073, 0.313)
Tm (0.802, 0.427, 0.813)
Tm (0.927, 0.302, 0.313)
Mg (0.234, 0.234, 0.000)
Mg (0.266, 0.266, 0.500)
Mg (0.734, 0.734, 0.500)
Mg (0.766, 0.766, 0.000)
Mn (0.102, 0.898, 0.393)
Mn (0.398, 0.602, 0.893)
Mn (0.602, 0.398, 0.107)
Mn (0.898, 0.102, 0.607)

calculated volume	449	Å³ per cell
energy	-0.178	Ha/atom
formation enthalpy at 0 K	0.046	eV/atom


Entry 4:
# Tm6MgMn2

A relaxed structure of Tm6MgMn2 (PBE, Alexandria).

a = 8.339 Å, b = 8.339 Å, c = 8.339 Å
α = 110.79°, β = 110.34°, γ = 107.30°
Element x y z (fractional)
Tm (0.012, 0.231, 0.781)
Tm (0.190, 0.286, 0.475)
Tm (0.190, 0.714, 0.904)
Tm (0.310, 0.015, 0.706)
Tm (0.310, 0.604, 0.294)
Tm (0.450, 0.231, 0.219)
Tm (0.550, 0.769, 0.781)
Tm (0.690, 0.396, 0.706)
Tm (0.690, 0.985, 0.294)
Tm (0.810, 0.286, 0.096)
Tm (0.810, 0.714, 0.525)
Tm (0.988, 0.769, 0.219)
Mg (0.000, 0.000, 0.000)
Mg (0.500, 0.500, 0.000)
Mn (0.105, 0.605, 0.500)
Mn (0.384, 0.000, 0.384)
Mn (0.616, 0.000, 0.616)
Mn (0.895, 0.395, 0.500)

calculated volume	446	Å³ per cell
energy	-0.190	Ha/atom
formation enthalpy at 0 K	0.025	eV/atom


Entry 5:
# Tm2MgMn

A relaxed structure of Tm2MgMn (PBE, Alexandria).

a = 10.251 Å, b = 10.251 Å, c = 10.251 Å
α = 18.85°, β = 18.85°, γ = 18.85°
Element x y z (fractional)
Tm (0.241, 0.241, 0.241)
Tm (0.759, 0.759, 0.759)
Mg (0.000, 0.000, 0.000)
Mn (0.500, 0.500, 0.500)

calculated volume	98	Å³ per cell
energy	-0.173	Ha/atom
formation enthalpy at 0 K	0.207	eV/atom
relative energy among the computed polymorphs	192	meV/atom


Entry 6:
# Tm2MgMn

A relaxed structure of Tm2MgMn (PBE, Alexandria).

a = 5.112 Å, b = 5.112 Å, c = 5.112 Å
α = 60.00°, β = 60.00°, γ = 60.00°
Element x y z (fractional)
Tm (0.250, 0.250, 0.250)
Tm (0.750, 0.750, 0.750)
Mg (0.000, 0.000, 0.000)
Mn (0.500, 0.500, 0.500)

calculated volume	94	Å³ per cell
energy	-0.178	Ha/atom
formation enthalpy at 0 K	0.095	eV/atom
relative energy among the computed polymorphs	80	meV/atom


Entry 7:
# Tm4MgMn

A relaxed structure of Tm4MgMn (PBE, Alexandria).

a = 7.751 Å, b = 7.751 Å, c = 5.911 Å
α = 100.07°, β = 100.07°, γ = 110.74°
Element x y z (fractional)
Tm (0.064, 0.729, 0.949)
Tm (0.191, 0.359, 0.624)
Tm (0.271, 0.936, 0.551)
Tm (0.359, 0.191, 0.124)
Tm (0.641, 0.809, 0.876)
Tm (0.729, 0.064, 0.449)
Tm (0.809, 0.641, 0.376)
Tm (0.936, 0.271, 0.051)
Mg (0.380, 0.620, 0.250)
Mg (0.620, 0.380, 0.750)
Mn (0.001, 0.999, 0.750)
Mn (0.999, 0.001, 0.250)

calculated volume	316	Å³ per cell
energy	-0.174	Ha/atom
formation enthalpy at 0 K	0.041	eV/atom


Entry 8:
# Tm2MgMn

A relaxed structure of Tm2MgMn (PBE, Alexandria).

a = 3.430 Å, b = 3.430 Å, c = 8.075 Å
α = 90.00°, β = 90.00°, γ = 90.00°
Element x y z (fractional)
Tm (0.000, 0.000, 0.213)
Tm (0.000, 0.000, 0.787)
Mg (0.500, 0.500, 0.500)
Mn (0.500, 0.500, 0.000)

calculated volume	95	Å³ per cell
energy	-0.180	Ha/atom
formation enthalpy at 0 K	0.016	eV/atom
relative energy among the computed polymorphs	0	meV/atom


Entry 9:
# MgMn4V

A relaxed structure of MgMn4V (PBE, Alexandria).

a = 4.732 Å, b = 4.732 Å, c = 4.732 Å
α = 60.00°, β = 60.00°, γ = 60.00°
Element x y z (fractional)
Mg (0.000, 0.000, 0.000)
Mn (0.375, 0.375, 0.375)
Mn (0.375, 0.375, 0.875)
Mn (0.375, 0.875, 0.375)
Mn (0.875, 0.375, 0.375)
V (0.750, 0.750, 0.750)

calculated volume	75	Å³ per cell
energy	-0.288	Ha/atom
formation enthalpy at 0 K	0.065	eV/atom


Entry 10:
# MgMn2V

A relaxed structure of MgMn2V (PBE, Alexandria).

a = 9.064 Å, b = 9.064 Å, c = 9.064 Å
α = 156.27°, β = 156.27°, γ = 33.81°
Element x y z (fractional)
Mg (0.000, 0.000, 0.000)
Mg (0.750, 0.250, 0.500)
Mn (0.220, 0.625, 0.095)
Mn (0.375, 0.470, 0.595)
Mn (0.530, 0.125, 0.905)
Mn (0.875, 0.780, 0.405)
V (0.250, 0.750, 0.500)
V (0.500, 0.500, 0.000)

calculated volume	120	Å³ per cell
energy	-0.235	Ha/atom
formation enthalpy at 0 K	0.857	eV/atom


Entry 11:
# MgMnV

A relaxed structure of MgMnV (PBE, Alexandria).

a = 2.896 Å, b = 2.896 Å, c = 11.020 Å
α = 90.00°, β = 90.00°, γ = 90.00°
Element x y z (fractional)
Mg (0.000, 0.000, 0.180)
Mg (0.000, 0.000, 0.820)
Mn (0.000, 0.000, 0.500)
Mn (0.500, 0.500, 0.000)
V (0.500, 0.500, 0.374)
V (0.500, 0.500, 0.626)

calculated volume	92	Å³ per cell
energy	-0.235	Ha/atom
formation enthalpy at 0 K	0.233	eV/atom


Entry 12:
# Mg14MnV

A relaxed structure of Mg14MnV (PBE, Alexandria).

a = 10.104 Å, b = 6.276 Å, c = 6.276 Å
α = 60.26°, β = 90.00°, γ = 90.00°
Element x y z (fractional)
Mg (0.000, 0.000, 0.000)
Mg (0.000, 0.499, 0.998)
Mg (0.000, 0.500, 0.500)
Mg (0.000, 0.998, 0.499)
Mg (0.256, 0.335, 0.335)
Mg (0.257, 0.835, 0.835)
Mg (0.264, 0.328, 0.829)
Mg (0.264, 0.829, 0.328)
Mg (0.500, 0.000, 0.498)
Mg (0.500, 0.498, 0.000)
Mg (0.736, 0.328, 0.829)
Mg (0.736, 0.829, 0.328)
Mg (0.743, 0.835, 0.835)
Mg (0.744, 0.335, 0.335)
Mn (0.500, 0.999, 0.999)
V (0.500, 0.498, 0.498)

calculated volume	346	Å³ per cell
energy	-0.089	Ha/atom
formation enthalpy at 0 K	0.126	eV/atom
relative energy among the computed polymorphs	4	meV/atom